Material: La12CeTm7
Method: DFT, PBE
State: optimized geometry

a b c (Å): 11.412 11.412 11.412
angles (deg): 116.62 116.62 116.62
Sites, in units of the cell vectors:
La 0.000 0.406 0.594
La 0.000 0.594 0.406
La 0.061 0.061 0.415
La 0.061 0.415 0.061
La 0.406 0.000 0.594
La 0.406 0.594 0.000
La 0.415 0.061 0.061
La 0.585 0.939 0.939
La 0.594 0.000 0.406
La 0.594 0.406 0.000
La 0.939 0.585 0.939
La 0.939 0.939 0.585
Ce 0.500 0.500 0.500
Tm 0.000 0.000 0.000
Tm 0.149 0.393 0.393
Tm 0.393 0.149 0.393
Tm 0.393 0.393 0.149
Tm 0.607 0.607 0.851
Tm 0.607 0.851 0.607
Tm 0.851 0.607 0.607

Summary:
**Space group**: R-3m
**Magnetic moment**: 0.001 μB per atom
**N(E_F)**: 31.10 states/eV/cell
**DFT formation energy**: 0.21 eV per atom



Material: LaCeTm2
Method: DFT, PBE
State: optimized geometry

a b c (Å): 11.729 11.729 11.729
angles (deg): 17.37 17.37 17.37
Sites, in units of the cell vectors:
La 0.000 0.000 0.000
Ce 0.834 0.834 0.834
Tm 0.247 0.247 0.247
Tm 0.421 0.421 0.421

Summary:
**E above lowest polymorph**: 0.002 eV/atom
**Space group**: R3m
**Magnetic moment**: 0.132 μB per atom
**N(E_F)**: 8.10 states/eV/cell
**DFT formation energy**: 0.06 eV per atom



Material: La3CeTm6
Method: DFT, PBE
State: optimized geometry

a b c (Å): 6.836 6.836 6.836
angles (deg): 92.13 92.13 92.13
Sites, in units of the cell vectors:
La 0.000 0.000 0.000
La 0.251 0.251 0.251
La 0.725 0.725 0.725
Ce 0.492 0.492 0.492
Tm 0.149 0.480 0.795
Tm 0.295 0.971 0.634
Tm 0.480 0.795 0.149
Tm 0.634 0.295 0.971
Tm 0.795 0.149 0.480
Tm 0.971 0.634 0.295

Summary:
**Space group**: R3
**Magnetic moment**: 0.000 μB per atom
**N(E_F)**: 22.45 states/eV/cell
**DFT formation energy**: 0.29 eV per atom



Material: LaCeTm3
Method: DFT, PBE
State: optimized geometry

a b c (Å): 6.129 6.129 10.751
angles (deg): 90.00 90.00 129.23
Sites, in units of the cell vectors:
La 0.156 0.844 0.000
La 0.844 0.156 0.000
Ce 0.379 0.621 0.500
Ce 0.621 0.379 0.500
Tm 0.151 0.849 0.316
Tm 0.151 0.849 0.684
Tm 0.500 0.500 0.178
Tm 0.500 0.500 0.822
Tm 0.849 0.151 0.316
Tm 0.849 0.151 0.684

Summary:
**Space group**: Cmmm
**Magnetic moment**: 0.000 μB per atom
**N(E_F)**: 17.04 states/eV/cell
**DFT formation energy**: 0.15 eV per atom



Material: LaCeTm2
Method: DFT, PBE
State: optimized geometry

a b c (Å): 5.682 5.682 5.682
angles (deg): 60.00 60.00 60.00
Sites, in units of the cell vectors:
La 0.000 0.000 0.000
Ce 0.500 0.500 0.500
Tm 0.250 0.250 0.250
Tm 0.750 0.750 0.750

Summary:
**E above lowest polymorph**: 0.074 eV/atom
**Space group**: Fm-3m
**Magnetic moment**: 0.132 μB per atom
**N(E_F)**: 8.72 states/eV/cell
**DFT formation energy**: 0.14 eV per atom



Material: LaCe2Tm
Method: DFT, PBE
State: optimized geometry

a b c (Å): 11.825 11.825 11.825
angles (deg): 16.97 16.97 16.97
Sites, in units of the cell vectors:
La 0.000 0.000 0.000
Ce 0.246 0.246 0.246
Ce 0.417 0.417 0.417
Tm 0.830 0.830 0.830

Summary:
**E above lowest polymorph**: 0.003 eV/atom
**Space group**: R3m
**Magnetic moment**: 0.281 μB per atom
**N(E_F)**: 10.18 states/eV/cell
**DFT formation energy**: 0.11 eV per atom



Material: La2CeTm6
Method: DFT, PBE
State: optimized geometry

a b c (Å): 9.470 9.470 6.539
angles (deg): 96.98 96.98 94.64
Sites, in units of the cell vectors:
La 0.110 0.172 0.375
La 0.172 0.110 0.875
La 0.828 0.890 0.125
La 0.890 0.828 0.625
Ce 0.383 0.617 0.750
Ce 0.617 0.383 0.250
Tm 0.045 0.450 0.743
Tm 0.169 0.776 0.004
Tm 0.224 0.831 0.496
Tm 0.283 0.455 0.190
Tm 0.450 0.045 0.243
Tm 0.455 0.283 0.690
Tm 0.545 0.717 0.310
Tm 0.550 0.955 0.757
Tm 0.717 0.545 0.810
Tm 0.776 0.169 0.504
Tm 0.831 0.224 0.996
Tm 0.955 0.550 0.257

Summary:
**E above lowest polymorph**: 0.043 eV/atom
**Space group**: C2/c
**Magnetic moment**: 0.113 μB per atom
**N(E_F)**: 31.04 states/eV/cell
**DFT formation energy**: 0.14 eV per atom



Material: LaCeTm2
Method: DFT, PBE
State: optimized geometry

a b c (Å): 12.438 12.438 12.438
angles (deg): 15.84 15.84 15.84
Sites, in units of the cell vectors:
La 0.000 0.000 0.000
Ce 0.500 0.500 0.500
Tm 0.092 0.092 0.092
Tm 0.908 0.908 0.908

Summary:
**E above lowest polymorph**: 0.090 eV/atom
**Space group**: R-3m
**Magnetic moment**: 0.039 μB per atom
**N(E_F)**: 8.06 states/eV/cell
**DFT formation energy**: 0.15 eV per atom



Material: La3CeTm
Method: DFT, PBE
State: optimized geometry

a b c (Å): 7.654 7.654 6.608
angles (deg): 90.00 90.00 120.03
Sites, in units of the cell vectors:
La 0.189 0.379 0.750
La 0.189 0.811 0.750
La 0.379 0.189 0.250
La 0.621 0.811 0.750
La 0.811 0.189 0.250
La 0.811 0.621 0.250
Ce 0.000 0.000 0.000
Ce 0.000 0.000 0.500
Tm 0.334 0.666 0.250
Tm 0.666 0.334 0.750

Summary:
**Space group**: Cmcm
**Magnetic moment**: 0.011 μB per atom
**N(E_F)**: 12.11 states/eV/cell
**DFT formation energy**: 0.24 eV per atom



Material: LaCeTm2
Method: DFT, PBE
State: optimized geometry

a b c (Å): 3.588 3.588 9.832
angles (deg): 90.00 90.00 90.00
Sites, in units of the cell vectors:
La 0.000 0.000 0.000
Ce 0.000 0.000 0.500
Tm 0.500 0.500 0.263
Tm 0.500 0.500 0.737

Summary:
**E above lowest polymorph**: 0.000 eV/atom
**Space group**: P4/mmm
**Magnetic moment**: 0.137 μB per atom
**N(E_F)**: 7.66 states/eV/cell
**DFT formation energy**: 0.06 eV per atom



Material: La8CeTm4
Method: DFT, PBE
State: optimized geometry

a b c (Å): 10.338 10.338 10.338
angles (deg): 41.83 41.83 41.83
Sites, in units of the cell vectors:
La 0.207 0.744 0.744
La 0.218 0.218 0.218
La 0.256 0.256 0.793
La 0.256 0.793 0.256
La 0.744 0.207 0.744
La 0.744 0.744 0.207
La 0.782 0.782 0.782
La 0.793 0.256 0.256
Ce 0.500 0.500 0.500
Tm 0.000 0.000 0.000
Tm 0.000 0.500 0.500
Tm 0.500 0.000 0.500
Tm 0.500 0.500 0.000

Summary:
**Space group**: R-3m
**Magnetic moment**: 0.000 μB per atom
**N(E_F)**: 22.10 states/eV/cell
**DFT formation energy**: 0.13 eV per atom



Material: LaCeTm2
Method: DFT, PBE
State: optimized geometry

a b c (Å): 5.101 5.101 4.880
angles (deg): 90.00 90.00 90.00
Sites, in units of the cell vectors:
La 0.000 0.000 0.000
Ce 0.500 0.500 0.000
Tm 0.000 0.500 0.500
Tm 0.500 0.000 0.500

Summary:
**E above lowest polymorph**: 0.017 eV/atom
**Space group**: P4/mmm
**Magnetic moment**: 0.168 μB per atom
**N(E_F)**: 7.96 states/eV/cell
**DFT formation energy**: 0.08 eV per atom



Material: La3Ce2Y6Tm
Method: DFT, PBE
State: optimized geometry

a b c (Å): 6.242 6.242 11.869
angles (deg): 95.02 95.02 120.00
Sites, in units of the cell vectors:
La 0.000 0.000 0.000
La 0.334 0.666 0.000
La 0.666 0.334 0.000
Ce 0.166 0.834 0.500
Ce 0.834 0.166 0.500
Y 0.084 0.419 0.256
Y 0.246 0.246 0.744
Y 0.419 0.084 0.256
Y 0.581 0.916 0.744
Y 0.754 0.754 0.256
Y 0.916 0.581 0.744
Tm 0.500 0.500 0.500

Summary:
**Space group**: C2/m
**Magnetic moment**: 0.163 μB per atom
**N(E_F)**: 20.75 states/eV/cell
**DFT formation energy**: 0.05 eV per atom



Material: La2CeV
Method: DFT, PBE
State: optimized geometry

a b c (Å): 11.527 11.527 11.527
angles (deg): 16.84 16.84 16.84
Sites, in units of the cell vectors:
La 0.081 0.081 0.081
La 0.919 0.919 0.919
Ce 0.500 0.500 0.500
V 0.000 0.000 0.000

Summary:
**Space group**: R-3m
**Magnetic moment**: 0.797 μB per atom
**N(E_F)**: 6.60 states/eV/cell
**DFT formation energy**: 0.62 eV per atom



Material: La4CeY
Method: DFT, PBE
State: optimized geometry

a b c (Å): 6.120 6.120 11.684
angles (deg): 117.92 117.92 33.20
Sites, in units of the cell vectors:
La 0.160 0.160 0.334
La 0.340 0.340 0.155
La 0.660 0.660 0.845
La 0.840 0.840 0.666
Ce 0.000 0.000 0.000
Y 0.500 0.500 0.500

Summary:
**Space group**: C2/m
**Magnetic moment**: 0.202 μB per atom
**N(E_F)**: 13.84 states/eV/cell
**DFT formation energy**: 0.18 eV per atom



Material: LaCe2Y
Method: DFT, PBE
State: optimized geometry

a b c (Å): 12.460 12.460 12.460
angles (deg): 15.70 15.70 15.70
Sites, in units of the cell vectors:
La 0.000 0.000 0.000
Ce 0.087 0.087 0.087
Ce 0.913 0.913 0.913
Y 0.500 0.500 0.500

Summary:
**E above lowest polymorph**: 0.090 eV/atom
**Space group**: R-3m
**Magnetic moment**: 0.244 μB per atom
**N(E_F)**: 9.58 states/eV/cell
**DFT formation energy**: 0.20 eV per atom



Material: La8CeY3
Method: DFT, PBE
State: optimized geometry

a b c (Å): 8.568 8.568 8.568
angles (deg): 117.84 117.84 93.78
Sites, in units of the cell vectors:
La 0.120 0.120 0.761
La 0.209 0.209 0.464
La 0.255 0.791 0.000
La 0.359 0.359 0.239
La 0.641 0.880 0.000
La 0.745 0.745 0.536
La 0.791 0.255 0.000
La 0.880 0.641 0.000
Ce 0.000 0.000 0.000
Y 0.250 0.750 0.500
Y 0.500 0.500 0.000
Y 0.750 0.250 0.500

Summary:
**Space group**: I-42m
**Magnetic moment**: 0.000 μB per atom
**N(E_F)**: 21.84 states/eV/cell
**DFT formation energy**: 0.47 eV per atom



Material: La4CeY4
Method: DFT, PBE
State: optimized geometry

a b c (Å): 8.135 8.135 8.135
angles (deg): 95.88 95.88 142.66
Sites, in units of the cell vectors:
La 0.000 0.329 0.329
La 0.000 0.671 0.671
La 0.329 0.000 0.329
La 0.671 0.000 0.671
Ce 0.000 0.000 0.000
Y 0.337 0.337 0.673
Y 0.337 0.663 0.000
Y 0.663 0.337 0.000
Y 0.663 0.663 0.327

Summary:
**Space group**: I4/mmm
**Magnetic moment**: 0.164 μB per atom
**N(E_F)**: 17.34 states/eV/cell
**DFT formation energy**: 0.05 eV per atom



Material: LaCeY6
Method: DFT, PBE
State: optimized geometry

a b c (Å): 6.555 6.688 7.532
angles (deg): 115.14 115.51 90.26
Sites, in units of the cell vectors:
La 0.000 0.000 0.000
Ce 0.500 0.000 0.000
Y 0.241 0.557 0.482
Y 0.252 0.500 0.999
Y 0.269 0.081 0.536
Y 0.731 0.919 0.464
Y 0.748 0.500 0.001
Y 0.759 0.443 0.518

Summary:
**Space group**: P-1
**Magnetic moment**: 0.191 μB per atom
**N(E_F)**: 16.99 states/eV/cell
**DFT formation energy**: 0.21 eV per atom



Material: La12CeY3
Method: DFT, PBE
State: optimized geometry

a b c (Å): 5.218 5.218 20.829
angles (deg): 90.00 90.00 90.00
Sites, in units of the cell vectors:
La 0.000 0.000 0.000
La 0.000 0.000 0.249
La 0.000 0.000 0.500
La 0.000 0.000 0.751
La 0.000 0.500 0.121
La 0.000 0.500 0.374
La 0.000 0.500 0.626
La 0.000 0.500 0.879
La 0.500 0.000 0.121
La 0.500 0.000 0.374
La 0.500 0.000 0.626
La 0.500 0.000 0.879
Ce 0.500 0.500 0.000
Y 0.500 0.500 0.249
Y 0.500 0.500 0.500
Y 0.500 0.500 0.751

Summary:
**Space group**: P4/mmm
**Magnetic moment**: 0.072 μB per atom
**N(E_F)**: 28.12 states/eV/cell
**DFT formation energy**: 0.02 eV per atom